Entry 1:
First-principles (PBE) data for a relaxed structure of LiHoIn2, as listed in the Alexandria database.

Cell: 3.8465 4.9810 4.9810 Å, 90.00 90.00 90.00°
Atoms (fractional coordinates):
1 In 0.0000 0.5000 0.0000
2 In 0.0000 0.0000 0.5000
3 Li 0.5000 0.0000 0.0000
4 Ho 0.5000 0.5000 0.5000

Results
formation energy: -0.39 eV per atom
relative energy among the computed polymorphs: 0 meV per atom
calculated density: 7.0 g/cm³
E: -3.383 eV/atom

***

Entry 2:
First-principles (PBE) data for a relaxed structure of SrP2WCl, as listed in the Alexandria database.

Cell: 5.5851 5.5851 5.1956 Å, 90.00 90.00 90.00°
Each line ends with the local moment (μB).
Atoms (fractional coordinates):
1 W 0.5000 0.5000 0.5000  3.33
2 Sr 0.0000 0.0000 0.0000  -0.05
3 Cl 0.0000 0.0000 0.5000  -0.03
4 P 0.5000 0.0000 0.0000  -0.48
5 P 0.0000 0.5000 0.0000  -0.48

Results
relative energy among the computed polymorphs: 2019 meV per atom
calculated density: 3.8 g/cm³
E: -3.910 eV/atom